SiW (SCAN, PBEsol geometry); uncorrected energy = -39.184 eV/atom; ΔE_f (raw) = 0.668 eV per atom; size of the total moment = 0.000 μB/atom
1.0
-4.1370 1.0116 1.0393
0.8125 -3.0052 -3.0866
0.0005 -5.4893 5.3447
W Si
4 4
Cartesian
0.0001 -1.3723 1.3362
-0.8370 -5.7832 2.2972
0.0003 -4.1170 4.0085
-2.4871 -1.6997 1.0002
-0.8373 -2.1283 -1.2614
-2.4867 -5.3546 4.5588
-0.8372 -3.9489 0.5112
-2.4869 -3.5341 2.7862